# RbLiSc2 PBE optimized geometry
# theoretical density = 1.7 g/cm3
# E above lowest polymorph = 357 meV per atom
# raw total energy = -2.87 eV per atom
# M_tot = 1.826 μB per formula unit
# formation enthalpy at 0 K = 1.02 eV/atom
data_RbLiSc2
_cell_length_a 5.652
_cell_length_b 5.652
_cell_length_c 22.570
_cell_angle_alpha 90.00
_cell_angle_beta 90.00
_cell_angle_gamma 90.00
_symmetry_space_group_name_H-M 'I 41/a m d'
_symmetry_Int_Tables_number 141
loop_
_symmetry_equiv_pos_as_xyz
'x,y,z'
'-x,-y,-z'
'-y+1/4,x+3/4,z+1/4'
'y+1/4,-x+3/4,-z+1/4'
'-x+1/2,-y,z+1/2'
'x+1/2,y,-z+1/2'
'y+1/4,-x+1/4,z+3/4'
'-y+1/4,x+1/4,-z+3/4'
'x,-y,-z'
'-x,y,z'
'-y+1/4,-x+1/4,-z+3/4'
'y+1/4,x+1/4,z+3/4'
'-x+1/2,y,-z+1/2'
'x+1/2,-y,z+1/2'
'y+1/4,x+3/4,-z+1/4'
'-y+1/4,-x+3/4,z+1/4'
'x+1/2,y+1/2,z+1/2'
'-x+1/2,-y+1/2,-z+1/2'
'-y+3/4,x+1/4,z+3/4'
'y+3/4,-x+1/4,-z+3/4'
'-x,-y+1/2,z'
'x,y+1/2,-z'
'y+3/4,-x+3/4,z+1/4'
'-y+3/4,x+3/4,-z+1/4'
'x+1/2,-y+1/2,-z+1/2'
'-x+1/2,y+1/2,z+1/2'
'-y+3/4,-x+3/4,-z+1/4'
'y+3/4,x+3/4,z+1/4'
'-x,y+1/2,-z'
'x,-y+1/2,z'
'y+3/4,x+1/4,-z+3/4'
'-y+3/4,-x+1/4,z+3/4'
loop_
_atom_site_label
_atom_site_fract_x
_atom_site_fract_y
_atom_site_fract_z
_atom_site_occupancy
Rb1 0.000 0.250 0.375 1
Li1 0.000 0.250 0.875 1
Sc1 0.000 0.000 0.000 1

***

# LiAg2Te2 PBE optimized geometry
# theoretical density = 6.7 g/cm3
# E above lowest polymorph = 28 meV per atom
# raw total energy = -3.04 eV per atom
# M_tot = 0.000 μB per formula unit
# formation energy from raw total energies = -0.256 eV/atom
data_LiAg2Te2
_cell_length_a 8.950
_cell_length_b 3.536
_cell_length_c 8.670
_cell_angle_alpha 90.00
_cell_angle_beta 119.99
_cell_angle_gamma 90.00
_symmetry_space_group_name_H-M 'C 1 2/m 1'
_symmetry_Int_Tables_number 12
_symmetry_space_group_name_Hall '-C 2y'
loop_
_atom_site_label
_atom_site_fract_x
_atom_site_fract_y
_atom_site_fract_z
_atom_site_occupancy
Li1 0.000 0.000 0.000 1
Ag1 0.099 0.500 0.409 1
Te1 0.212 0.000 0.768 1

***

# AcPuN PBE optimized geometry
# theoretical density = 10.7 g/cm3
# E above lowest polymorph = 1 meV per atom
# raw total energy = -9.52 eV per atom
# M_tot = 5.503 μB per formula unit
# formation energy from raw total energies = -0.599 eV/atom
data_AcPuN
_cell_length_a 3.6538
_cell_length_b 3.6538
_cell_length_c 6.5036
_cell_angle_alpha 90.00
_cell_angle_beta 90.00
_cell_angle_gamma 120.00
_symmetry_space_group_name_H-M 'P 3 m 1'
_symmetry_Int_Tables_number 156
_symmetry_space_group_name_Hall 'P 3 -2"'
loop_
_atom_site_label
_atom_site_fract_x
_atom_site_fract_y
_atom_site_fract_z
_atom_site_occupancy
Ac1 0.0000 0.0000 0.0000 1
Pu1 0.6667 0.3333 0.5532 1
N1 0.3333 0.6667 0.7136 1

***

# ZrMn2Re PBE optimized geometry
# theoretical density = 10.9 g/cm3
# E above lowest polymorph = 131 meV per atom
# raw total energy = -9.66 eV per atom
# M_tot = 2.659 μB per formula unit
# formation enthalpy at 0 K = 0.17 eV/atom
data_ZrMn2Re
_cell_length_a 5.486
_cell_length_b 8.186
_cell_length_c 2.763
_cell_angle_alpha 90.00
_cell_angle_beta 107.81
_cell_angle_gamma 90.00
_symmetry_space_group_name_H-M 'C 1 2/m 1'
_symmetry_Int_Tables_number 12
_symmetry_space_group_name_Hall '-C 2y'
loop_
_atom_site_label
_atom_site_fract_x
_atom_site_fract_y
_atom_site_fract_z
_atom_site_occupancy
Zr1 0.000 0.000 0.000 1
Mn1 0.250 0.250 0.500 1
Re1 0.000 0.500 0.000 1

***

What is the M_tot in the third record? 5.503 μB per formula unit

***

Number 1 is which compound? RbLiSc2

***

E above lowest polymorph of number 2 (LiAg2Te2)? 28 meV per atom

***

Copy entry 3 word for word.
# AcPuN PBE optimized geometry
# theoretical density = 10.7 g/cm3
# E above lowest polymorph = 1 meV per atom
# raw total energy = -9.52 eV per atom
# M_tot = 5.503 μB per formula unit
# formation energy from raw total energies = -0.599 eV/atom
data_AcPuN
_cell_length_a 3.6538
_cell_length_b 3.6538
_cell_length_c 6.5036
_cell_angle_alpha 90.00
_cell_angle_beta 90.00
_cell_angle_gamma 120.00
_symmetry_space_group_name_H-M 'P 3 m 1'
_symmetry_Int_Tables_number 156
_symmetry_space_group_name_Hall 'P 3 -2"'
loop_
_atom_site_label
_atom_site_fract_x
_atom_site_fract_y
_atom_site_fract_z
_atom_site_occupancy
Ac1 0.0000 0.0000 0.0000 1
Pu1 0.6667 0.3333 0.5532 1
N1 0.3333 0.6667 0.7136 1